Record 1
DFT (PBE-GGA) results for a relaxed structure of GdTh2Sc.

Unit cell a=5.5430 b=5.5430 c=5.5430 alpha=60.00 beta=60.00 gamma=60.00
Site moments in Bohr magnetons follow the coordinates.
Fractional positions:
Sc 0.5000 0.5000 0.5000  -0.20
Gd 0.0000 0.0000 0.0000  7.17
Th 0.2500 0.2500 0.2500  -0.03
Th 0.7500 0.7500 0.7500  -0.03

Properties
The space group is No. 225. The value obtained for the density of states at the Fermi level is 5.60 states/eV/f.u. The crystal system is cubic. The calculated formation energy is 0.115 eV per atom. For the final energy, the calculation gives -8.698 eV per atom.

---

Record 2
DFT (PBE-GGA) results for a relaxed structure of La3Ga4Rh2.

Unit cell a=4.6077 b=5.8257 c=8.4605 alpha=101.77 beta=90.00 gamma=113.30
Fractional positions:
La 0.6158 0.2317 0.6997
La 0.0000 0.0000 0.0000
La 0.3842 0.7683 0.3003
Ga 0.7157 0.4314 0.0820
Ga 0.2843 0.5686 0.9180
Ga 0.8965 0.7930 0.5902
Ga 0.1035 0.2070 0.4098
Rh 0.6882 0.3764 0.3709
Rh 0.3118 0.6236 0.6291

Properties
The space group is No. 12. The value obtained for the density of states at the Fermi level is 7.80 states/eV/f.u. The crystal system is monoclinic. The calculated formation energy is -0.733 eV per atom. For the final energy, the calculation gives -5.354 eV per atom.

---

Record 3
DFT (PBE-GGA) results for a relaxed structure of CaIrSe2Br.

Unit cell a=5.4588 b=5.4588 c=5.3240 alpha=90.00 beta=90.00 gamma=90.00
Site moments in Bohr magnetons follow the coordinates.
Fractional positions:
Ca 0.0000 0.0000 0.0000  0.00
Ir 0.5000 0.5000 0.5000  2.13
Se 0.0000 0.5000 0.0000  0.25
Se 0.5000 0.0000 0.0000  0.25
Br 0.0000 0.0000 0.5000  0.17

Properties
The space group is No. 123. The value obtained for the density of states at the Fermi level is 6.31 states/eV/f.u. The crystal system is tetragonal. For the final energy, the calculation gives -3.107 eV per atom.

---

Record 4
DFT (PBE-GGA) results for a relaxed structure of La2TbScS6.

Unit cell a=6.7141 b=7.3312 c=9.8723 alpha=90.00 beta=89.19 gamma=90.00
Fractional positions:
La 0.0348 0.9074 0.2519
La 0.5348 0.5926 0.7519
La 0.9652 0.0926 0.7481
La 0.4652 0.4074 0.2481
Tb 0.5000 0.0000 0.5000
Tb 0.0000 0.5000 0.0000
Sc 0.5000 0.0000 0.0000
Sc 0.0000 0.5000 0.5000
S 0.3261 0.6946 0.0671
S 0.8261 0.8054 0.5671
S 0.6739 0.3054 0.9329
S 0.1739 0.1946 0.4329
S 0.3109 0.6829 0.4340
S 0.8109 0.8171 0.9340
S 0.6891 0.3171 0.5660
S 0.1891 0.1829 0.0660
S 0.8667 0.5452 0.2584
S 0.3667 0.9548 0.7584
S 0.1333 0.4548 0.7416
S 0.6333 0.0452 0.2416

Properties
The space group is No. 14. The value obtained for the density of states at the Fermi level is 0.00 states/eV/f.u. The crystal system is monoclinic. For the final energy, the calculation gives -6.660 eV per atom.

---

Record 5
DFT (PBE-GGA) results for a relaxed structure of AgHg4Os.

Unit cell a=5.6469 b=5.6469 c=5.6469 alpha=60.00 beta=60.00 gamma=60.00
Site moments in Bohr magnetons follow the coordinates.
Fractional positions:
Ag 0.0000 0.0000 0.0000  0.01
Hg 0.8744 0.3752 0.3752  0.00
Hg 0.3752 0.3752 0.8744  0.00
Hg 0.3752 0.8744 0.3752  0.00
Hg 0.3752 0.3752 0.3752  0.00
Os 0.7500 0.7500 0.7500  1.26

Properties
The space group is No. 216. The value obtained for the density of states at the Fermi level is 4.80 states/eV/f.u. The crystal system is cubic. The calculated formation energy is 1.001 eV per atom. For the final energy, the calculation gives -1.547 eV per atom.

---

Record 6
DFT (PBE-GGA) results for a relaxed structure of LiPr3Th4Se8.

Unit cell a=8.3186 b=8.5035 c=8.3189 alpha=119.28 beta=120.00 gamma=90.00
Fractional positions:
Li 0.0000 0.5000 0.0000
Pr 0.5000 0.5000 0.0000
Pr 0.5000 0.5000 0.5000
Pr 0.0000 0.5000 0.5000
Th 0.5000 0.0000 0.0000
Th 0.5000 0.0000 0.5000
Th 0.0000 0.0000 0.0000
Th 0.0000 0.0000 0.5000
Se 0.2409 0.7431 0.0022
Se 0.2410 0.7432 0.4820
Se 0.2494 0.2483 0.4989
Se 0.7613 0.7431 0.0022
Se 0.2387 0.2569 0.9978
Se 0.7506 0.7517 0.5011
Se 0.7590 0.2568 0.5180
Se 0.7591 0.2569 0.9978

Properties
The space group is No. 166. The value obtained for the density of states at the Fermi level is 8.02 states/eV/f.u. The crystal system is trigonal. For the final energy, the calculation gives -6.249 eV per atom.

---

Record 7
DFT (PBE-GGA) results for a relaxed structure of LaMgPb.

Unit cell a=4.6400 b=4.6400 c=8.9582 alpha=105.01 beta=105.01 gamma=90.00
Fractional positions:
La 0.6629 0.6629 0.3259
La 0.3371 0.3371 0.6741
Mg 0.5000 0.0000 0.0000
Mg 0.0000 0.5000 0.0000
Pb 0.1329 0.1329 0.2659
Pb 0.8671 0.8671 0.7341

Properties
The space group is No. 139. The value obtained for the density of states at the Fermi level is 1.37 states/eV/f.u. The crystal system is tetragonal. The calculated formation energy is -0.495 eV per atom. For the final energy, the calculation gives -3.905 eV per atom.

---

Record 8
DFT (PBE-GGA) results for a relaxed structure of La2TlCd2.

Unit cell a=6.4980 b=6.4980 c=6.5037 alpha=49.56 beta=49.56 gamma=49.53
Fractional positions:
La 0.7718 0.7718 0.7719
La 0.2282 0.2282 0.2281
Tl 0.0000 0.0000 0.0000
Cd 0.4166 0.4166 0.4159
Cd 0.5834 0.5834 0.5841

Properties
The space group is No. 166. The value obtained for the density of states at the Fermi level is 4.14 states/eV/f.u. The crystal system is trigonal. The calculated formation energy is -0.253 eV per atom. For the final energy, the calculation gives -3.063 eV per atom.

---

Record 9
DFT (PBE-GGA) results for a relaxed structure of HfScNi2.

Unit cell a=3.1862 b=3.1862 c=6.3826 alpha=90.00 beta=90.00 gamma=90.00
Fractional positions:
Sc 0.5000 0.5000 0.5000
Ni 0.0000 0.0000 0.7681
Ni 0.0000 0.0000 0.2319
Hf 0.5000 0.5000 0.0000

Properties
The space group is No. 123. The value obtained for the density of states at the Fermi level is 5.21 states/eV/f.u. The crystal system is tetragonal. The calculated formation energy is -0.471 eV per atom. For the final energy, the calculation gives -7.433 eV per atom.

---

Record 10
DFT (PBE-GGA) results for a relaxed structure of Cs2RbCdAg.

Unit cell a=7.1217 b=7.1217 c=6.8491 alpha=90.00 beta=90.00 gamma=90.00
Fractional positions:
Cs 0.0000 0.5000 0.0000
Cs 0.5000 0.0000 0.0000
Rb 0.0000 0.0000 0.5000
Ag 0.0000 0.0000 0.0000
Cd 0.5000 0.5000 0.5000

Properties
The space group is No. 123. The value obtained for the density of states at the Fermi level is 6.61 states/eV/f.u. The crystal system is tetragonal. The calculated formation energy is 0.138 eV per atom. For the final energy, the calculation gives -1.150 eV per atom.

---

Record 11
DFT (PBE-GGA) results for a relaxed structure of MgV2Ru2.

Unit cell a=7.2816 b=7.2816 c=2.8598 alpha=90.00 beta=90.00 gamma=90.00
Fractional positions:
Ru 0.3561 0.8561 0.0000
Ru 0.8561 0.6439 0.0000
Ru 0.6439 0.1439 0.0000
Ru 0.1439 0.3561 0.0000
Mg 0.0000 0.0000 0.0000
Mg 0.5000 0.5000 0.0000
V 0.1517 0.6517 0.5000
V 0.6517 0.8483 0.5000
V 0.8483 0.3483 0.5000
V 0.3483 0.1517 0.5000

Properties
The space group is No. 127. The value obtained for the density of states at the Fermi level is 4.18 states/eV/f.u. The crystal system is tetragonal. The calculated formation energy is -0.087 eV per atom. For the final energy, the calculation gives -7.764 eV per atom.

---

Record 12
DFT (PBE-GGA) results for a relaxed structure of PmScAg.

Unit cell a=4.8406 b=4.8406 c=8.8706 alpha=74.17 beta=74.17 gamma=60.00
Fractional positions:
Pm 0.1214 0.1214 0.6357
Pm 0.8786 0.8786 0.3643
Sc 0.6300 0.6300 0.1099
Sc 0.3700 0.3700 0.8901
Ag 0.7417 0.7417 0.7750
Ag 0.2583 0.2583 0.2250

Properties
The space group is No. 166. The value obtained for the density of states at the Fermi level is 4.62 states/eV/f.u. The crystal system is trigonal. The calculated formation energy is 0.106 eV per atom. For the final energy, the calculation gives -4.538 eV per atom.

---

> Look up the final energy of the eleventh one.

-7.764 eV per atom

---

> Among the records above, which one has the lowest final energy?

GdTh2Sc

---

> The highest final energy belongs to which entry?

Cs2RbCdAg